Entry 1:
# TiZnOsRu

Crystalline TiZnOsRu at its relaxed geometry (PBE, Alexandria via LeMat-Bulk).

Values from the calculation:
SG	F-43m, No. 216
ΔH_f (0 K)	-0.21	eV/atom

a = 4.327 Å, b = 4.327 Å, c = 4.327 Å
α = 60.00°, β = 60.00°, γ = 60.00°
Atoms (fractional coordinates):
1 Ru 0.750 0.750 0.750
2 Zn 0.500 0.500 0.500
3 Os 0.250 0.250 0.250
4 Ti 0.000 0.000 0.000

=====

Entry 2:
# Sb4RhBr

Crystalline Sb4RhBr at its relaxed geometry (PBE, Alexandria via LeMat-Bulk).

Values from the calculation:
SG	F-43m, No. 216
formation energy from raw total energies	61.1	kJ/mol of atoms

a = 6.150 Å, b = 6.150 Å, c = 6.150 Å
α = 60.00°, β = 60.00°, γ = 60.00°
Atoms (fractional coordinates):
1 Sb 0.378 0.867 0.378
2 Sb 0.867 0.378 0.378
3 Sb 0.378 0.378 0.867
4 Sb 0.378 0.378 0.378
5 Rh 0.000 0.000 0.000
6 Br 0.750 0.750 0.750

=====

Entry 3:
# MgZrTc2

Crystalline MgZrTc2 at its relaxed geometry (PBE, Alexandria via LeMat-Bulk).

Values from the calculation:
SG	Pm, No. 6
ΔH_f (0 K)	0.08	eV/atom

a = 4.447 Å, b = 2.896 Å, c = 5.497 Å
α = 76.33°, β = 90.00°, γ = 90.00°
Atoms (fractional coordinates):
1 Mg 0.500 0.813 0.762
2 Tc 0.000 0.992 0.023
3 Tc 0.500 0.206 0.220
4 Zr 0.000 0.489 0.495